# 1
Material: CuSi2W
Method: DFT, PBE
State: optimized geometry

Cell and atoms, written as CIF:
```
data_CuSi2W
_chemical_formula_sum 'Cu2 Si4 W2'
_space_group_name_H-M_alt 'P 1'
_space_group_IT_number 1
_cell_length_a 6.604
_cell_length_b 6.604
_cell_length_c 5.395
_cell_angle_alpha 52.26
_cell_angle_beta 52.26
_cell_angle_gamma 90.00
loop_
_space_group_symop_operation_xyz
'x,y,z'
loop_
_atom_site_label
_atom_site_fract_x
_atom_site_fract_y
_atom_site_fract_z
_atom_site_occupancy
Si1 0.599 0.125 0.250 1
Si2 0.151 0.625 0.250 1
Si3 0.375 0.401 0.750 1
Si4 0.875 0.849 0.750 1
Cu1 0.500 0.500 0.000 1
Cu2 0.250 0.750 0.500 1
W1 0.000 0.000 0.000 1
W2 0.750 0.250 0.500 1
```

Properties
For the total magnetization, the calculation gives 0.0000 μB per atom. The uncorrected formation energy is 0.559 eV/atom. The calculation puts the energy above the most stable polymorph in this dataset at 222 kJ/mol of formula units.

=====

# 2
Material: Cu2SiW
Method: DFT, PBE
State: optimized geometry

Cell and atoms, written as CIF:
```
data_Cu2SiW
_chemical_formula_sum 'Cu2 Si1 W1'
_space_group_name_H-M_alt 'P 1'
_space_group_IT_number 1
_cell_length_a 4.807
_cell_length_b 4.807
_cell_length_c 4.721
_cell_angle_alpha 67.98
_cell_angle_beta 67.98
_cell_angle_gamma 32.43
loop_
_space_group_symop_operation_xyz
'x,y,z'
loop_
_atom_site_label
_atom_site_fract_x
_atom_site_fract_y
_atom_site_fract_z
_atom_site_occupancy
Cu1 0.009 0.009 0.929 1
Cu2 0.762 0.762 0.814 1
Si1 0.488 0.488 0.430 1
W1 0.241 0.241 0.327 1
```

Properties
For the total magnetization, the calculation gives 0.0000 μB per atom. The uncorrected formation energy is 0.116 eV/atom.

=====

# 3
Material: Cu2SiW
Method: DFT, PBE
State: optimized geometry

Cell and atoms, written as CIF:
```
data_Cu2SiW
_chemical_formula_sum 'Cu2 Si1 W1'
_space_group_name_H-M_alt 'P 1'
_space_group_IT_number 1
_cell_length_a 2.631
_cell_length_b 2.631
_cell_length_c 7.857
_cell_angle_alpha 90.00
_cell_angle_beta 90.00
_cell_angle_gamma 90.00
loop_
_space_group_symop_operation_xyz
'x,y,z'
loop_
_atom_site_label
_atom_site_fract_x
_atom_site_fract_y
_atom_site_fract_z
_atom_site_occupancy
Cu1 0.000 0.000 0.014 1
Cu2 0.000 0.000 0.486 1
Si1 0.500 0.500 0.250 1
W1 0.500 0.500 0.750 1
```

Properties
For the total magnetization, the calculation gives 0.0000 μB per atom. The uncorrected formation energy is 0.252 eV/atom.

=====

# 4
Material: Cu2SiW
Method: DFT, PBE
State: optimized geometry

Cell and atoms, written as CIF:
```
data_Cu2SiW
_chemical_formula_sum 'Cu2 Si1 W1'
_space_group_name_H-M_alt 'P 1'
_space_group_IT_number 1
_cell_length_a 2.918
_cell_length_b 2.918
_cell_length_c 6.140
_cell_angle_alpha 90.00
_cell_angle_beta 90.00
_cell_angle_gamma 90.00
loop_
_space_group_symop_operation_xyz
'x,y,z'
loop_
_atom_site_label
_atom_site_fract_x
_atom_site_fract_y
_atom_site_fract_z
_atom_site_occupancy
Cu1 0.000 0.000 0.026 1
Cu2 0.500 0.500 0.256 1
Si1 0.000 0.000 0.472 1
W1 0.500 0.500 0.745 1
```

Properties
For the total magnetization, the calculation gives 0.0000 μB per atom. The uncorrected formation energy is 0.186 eV/atom.

=====

# 5
Material: CuSi2W
Method: DFT, PBE
State: optimized geometry

Cell and atoms, written as CIF:
```
data_CuSi2W
_chemical_formula_sum 'Cu1 Si2 W1'
_space_group_name_H-M_alt 'P 1'
_space_group_IT_number 1
_cell_length_a 8.229
_cell_length_b 8.229
_cell_length_c 8.229
_cell_angle_alpha 19.81
_cell_angle_beta 19.81
_cell_angle_gamma 19.81
loop_
_space_group_symop_operation_xyz
'x,y,z'
loop_
_atom_site_label
_atom_site_fract_x
_atom_site_fract_y
_atom_site_fract_z
_atom_site_occupancy
Cu1 0.750 0.750 0.750 1
Si1 0.003 0.003 0.003 1
Si2 0.497 0.497 0.497 1
W1 0.250 0.250 0.250 1
```

Properties
For the total magnetization, the calculation gives 0.0000 μB per atom. The uncorrected formation energy is 0.115 eV/atom. The calculation puts the energy above the most stable polymorph in this dataset at 51 kJ/mol of formula units.

=====

# 6
Material: CuSi2W
Method: DFT, PBE
State: optimized geometry

Cell and atoms, written as CIF:
```
data_CuSi2W
_chemical_formula_sum 'Cu1 Si2 W1'
_space_group_name_H-M_alt 'P 1'
_space_group_IT_number 1
_cell_length_a 4.620
_cell_length_b 2.705
_cell_length_c 4.422
_cell_angle_alpha 90.00
_cell_angle_beta 90.00
_cell_angle_gamma 90.00
loop_
_space_group_symop_operation_xyz
'x,y,z'
loop_
_atom_site_label
_atom_site_fract_x
_atom_site_fract_y
_atom_site_fract_z
_atom_site_occupancy
Cu1 0.500 0.875 0.748 1
Si1 0.000 0.876 0.005 1
Si2 0.500 0.374 0.240 1
W1 0.000 0.375 0.507 1
```

Properties
For the total magnetization, the calculation gives 0.0000 μB per atom. The uncorrected formation energy is 0.033 eV/atom. The calculation puts the energy above the most stable polymorph in this dataset at 19 kJ/mol of formula units.

=====

# 7
Material: CuSiW2
Method: DFT, PBE
State: optimized geometry

Cell and atoms, written as CIF:
```
data_CuSiW2
_chemical_formula_sum 'Cu1 Si1 W2'
_space_group_name_H-M_alt 'P 1'
_space_group_IT_number 1
_cell_length_a 2.956
_cell_length_b 2.956
_cell_length_c 6.492
_cell_angle_alpha 90.00
_cell_angle_beta 90.00
_cell_angle_gamma 90.00
loop_
_space_group_symop_operation_xyz
'x,y,z'
loop_
_atom_site_label
_atom_site_fract_x
_atom_site_fract_y
_atom_site_fract_z
_atom_site_occupancy
Cu1 0.500 0.500 0.250 1
Si1 0.500 0.500 0.750 1
W1 0.000 0.000 0.984 1
W2 0.000 0.000 0.516 1
```

Properties
For the total magnetization, the calculation gives 0.0000 μB per atom. The uncorrected formation energy is 0.255 eV/atom.

=====

# 8
Material: CuSiW2
Method: DFT, PBE
State: optimized geometry

Cell and atoms, written as CIF:
```
data_CuSiW2
_chemical_formula_sum 'Cu1 Si1 W2'
_space_group_name_H-M_alt 'P 1'
_space_group_IT_number 1
_cell_length_a 2.709
_cell_length_b 2.709
_cell_length_c 8.158
_cell_angle_alpha 90.00
_cell_angle_beta 90.00
_cell_angle_gamma 105.21
loop_
_space_group_symop_operation_xyz
'x,y,z'
loop_
_atom_site_label
_atom_site_fract_x
_atom_site_fract_y
_atom_site_fract_z
_atom_site_occupancy
Cu1 0.500 0.500 0.250 1
Si1 0.500 0.500 0.750 1
W1 0.000 0.000 0.993 1
W2 0.000 0.000 0.507 1
```

Properties
For the total magnetization, the calculation gives 0.0000 μB per atom. The uncorrected formation energy is 0.263 eV/atom.